[1]
A geometry-optimized Na2Cu2Au structure, computed with PBE-GGA.

The space group is I4/mmm (No. 139) and the conventional cell measures 3.359, 3.359 and 18.021 Å, with angles of 90.00, 90.00 and 90.00 degrees. The inequivalent atoms are Na at (0.000, 0.000, 0.108), Cu at (0.000, 0.500, 0.250) and Au at (0.000, 0.000, 0.500).

Its energy above the lowest structure with this stoichiometry is 11 meV per atom. For the formation energy, the calculation gives 0.05 eV per atom.

---

[2]
A geometry-optimized TbYTe2 structure, computed with PBE-GGA.

The space group is Pmn2_1 (No. 31) and the conventional cell measures 4.486, 9.773 and 6.874 Å, with angles of 90.00, 90.00 and 90.00 degrees. The inequivalent atoms are Tb at (0.000, 0.176, 0.000), Y at (0.000, 0.585, 0.154), Te at (0.000, 0.326, 0.378) and Te at (0.000, 0.908, 0.242).

Its energy above the lowest structure with this stoichiometry is 389 meV per atom. As for the raw formation energy: -3.78 eV/f.u.

---

[3]
A geometry-optimized UMnCr2S6 structure, computed with PBE-GGA.

The space group is R3 (No. 146, hexagonal axes) and the conventional cell measures 6.2940, 6.2940 and 17.2703 Å, with angles of 90.00, 90.00 and 120.00 degrees. The inequivalent atoms are U at (0.0000, 0.0000, 0.0000), Mn at (0.0000, 0.0000, 0.5018), Cr at (0.0000, 0.0000, 0.3111), Cr at (0.0000, 0.0000, 0.8099), S at (0.0078, 0.6496, 0.5659) and S at (0.0165, 0.3806, 0.0709).

As for the raw formation energy: -8.09 eV/f.u.

---

[4]
A geometry-optimized NbGe2Mo structure, computed with PBE-GGA.

The space group is Fm-3m (No. 225) and the conventional cell measures 6.357, 6.357 and 6.357 Å, with angles of 90.00, 90.00 and 90.00 degrees. The inequivalent atoms are Nb at (0.000, 0.000, 0.000), Ge at (0.250, 0.250, 0.250) and Mo at (0.000, 0.000, 0.500).

Its energy above the lowest structure with this stoichiometry is 0 meV per atom. For the formation energy, the calculation gives -0.02 eV per atom.

---

[5]
A geometry-optimized Pm2TeH2I structure, computed with PBE-GGA.

The space group is P-3m1 (No. 164) and the conventional cell measures 4.0457, 4.0457 and 9.3574 Å, with angles of 90.00, 90.00 and 120.00 degrees. The inequivalent atoms are Pm at (0.3333, 0.6667, 0.2250), Te at (0.0000, 0.0000, 0.0000), H at (0.3333, 0.6667, 0.7492) and I at (0.0000, 0.0000, 0.5000).

For the final energy, the calculation gives -26.77 eV for the cell shown.

---

[6]
A geometry-optimized Be2RuRh structure, computed with PBE-GGA.

The space group is Cm (No. 8) and the conventional cell measures 8.577, 2.699 and 4.025 Å, with angles of 90.00, 107.10 and 90.00 degrees. The inequivalent atoms are Be at (0.000, 0.000, 0.000), Be at (0.234, 0.500, 0.326), Ru at (0.246, 0.000, 0.846) and Rh at (0.484, 0.000, 0.476).

For the formation energy, the calculation gives -0.28 eV per atom.

---

Looking at calculated density for the records above, in order, we have 6.045, 5.544, 4.955, 8.639, 6.842, 8.280 g/cm3.